Record 1
A plane-wave DFT calculation with PBE-GGA was carried out for crystalline NbPtSeI at its relaxed geometry.

abc: 3.690 4.442 7.947
angles: 93.20 102.77 114.54
Fractional positions:
I 0.338 0.179 0.142
Se 0.714 0.420 0.680
Pt 0.325 0.778 0.535
Nb 0.952 0.139 0.424

Output
polymorph energy (0 for the lowest one)	0	kJ/mol of formula units
raw total energy	-22.776	eV/cell
spin magnetization	0.0	μB per formula unit
formation energy without anion corrections	-408	meV/atom
space group	P1, No. 1

Record 2
A plane-wave DFT calculation with PBE-GGA was carried out for crystalline NbPtSeI at its relaxed geometry.

abc: 3.056 3.756 17.931
angles: 90.00 90.00 90.00
Fractional positions:
Se 0.000 0.000 0.641
Pt 0.000 0.500 0.456
Se 0.500 0.500 0.141
Nb 0.000 0.500 0.031
Nb 0.500 0.000 0.531
I 0.500 0.500 0.833
I 0.000 0.000 0.333
Pt 0.500 0.000 0.956

Output
polymorph energy (0 for the lowest one)	53	kJ/mol of formula units
raw total energy	-44.447	eV/cell
spin magnetization	0.0	μB per formula unit
formation energy without anion corrections	-270	meV/atom
space group	Imm2, No. 44

Record 3
A plane-wave DFT calculation with PBE-GGA was carried out for crystalline NbPtSeI at its relaxed geometry.

abc: 8.899 3.654 6.335
angles: 90.00 90.39 90.00
Fractional positions:
Nb 0.757 0.500 0.014
Se 0.565 0.000 0.179
Se 0.565 0.500 0.679
Pt 0.931 0.000 0.183
Nb 0.757 0.000 0.514
I 0.153 0.500 0.017
I 0.153 0.000 0.517
Pt 0.931 0.500 0.683

Output
polymorph energy (0 for the lowest one)	28	kJ/mol of formula units
raw total energy	-44.973	eV/cell
spin magnetization	0.0	μB per formula unit
formation energy without anion corrections	-335	meV/atom
space group	Cm, No. 8

Record 4
A plane-wave DFT calculation with PBE-GGA was carried out for crystalline NbPtSeI at its relaxed geometry.

abc: 3.441 3.066 9.634
angles: 90.00 92.46 90.00
Fractional positions:
Nb 0.485 0.000 0.723
Pt 0.028 0.000 0.922
Se 0.970 0.500 0.576
I 0.463 0.000 0.185

Output
polymorph energy (0 for the lowest one)	85	kJ/mol of formula units
raw total energy	-21.893	eV/cell
spin magnetization	0.0	μB per formula unit
formation energy without anion corrections	-187	meV/atom
space group	Pm, No. 6

Record 5
A plane-wave DFT calculation with PBE-GGA was carried out for crystalline NbPtSeI at its relaxed geometry.

abc: 8.870 3.661 6.338
angles: 90.00 90.30 90.00
Fractional positions:
Nb 0.243 0.500 0.823
Se 0.436 0.500 0.491
Pt 0.068 0.500 0.489
I 0.848 0.000 0.653
Nb 0.243 0.000 0.323
Se 0.436 0.000 0.991
I 0.848 0.500 0.153
Pt 0.068 0.000 0.989

Output
polymorph energy (0 for the lowest one)	29	kJ/mol of formula units
raw total energy	-44.953	eV/cell
spin magnetization	0.0	μB per formula unit
formation energy without anion corrections	-333	meV/atom
space group	Cm, No. 8

Record 6
A plane-wave DFT calculation with PBE-GGA was carried out for crystalline NbPtSeI at its relaxed geometry.

abc: 3.790 3.789 8.660
angles: 77.02 77.10 60.02
Fractional positions:
I 0.396 0.534 0.152
Se 0.927 0.069 0.566
Pt 0.139 0.278 0.927
Nb 0.528 0.669 0.761

Output
polymorph energy (0 for the lowest one)	24	kJ/mol of formula units
raw total energy	-22.528	eV/cell
spin magnetization	0.0	μB per formula unit
formation energy without anion corrections	-346	meV/atom
space group	P1, No. 1

Record 7
A plane-wave DFT calculation with PBE-GGA was carried out for crystalline NbPtSeI at its relaxed geometry.

abc: 3.126 3.127 10.059
angles: 97.08 98.86 90.00
Fractional positions:
I 0.801 0.395 0.959
Nb 0.533 0.225 0.427
Pt 0.945 0.668 0.249
Se 0.111 0.790 0.584

Output
polymorph energy (0 for the lowest one)	63	kJ/mol of formula units
raw total energy	-22.120	eV/cell
spin magnetization	0.0	μB per formula unit
formation energy without anion corrections	-244	meV/atom
space group	P1, No. 1

Record 8
A plane-wave DFT calculation with PBE-GGA was carried out for crystalline NbPtSeI at its relaxed geometry.

abc: 3.710 4.733 6.804
angles: 69.20 74.03 67.56
Fractional positions:
Se 0.335 0.330 0.467
Nb 0.623 0.740 0.489
Pt 0.051 0.574 0.786
I 0.741 0.965 0.039

Output
polymorph energy (0 for the lowest one)	102	kJ/mol of formula units
raw total energy	-21.719	eV/cell
spin magnetization	0.0	μB per formula unit
formation energy without anion corrections	-143	meV/atom
space group	P1, No. 1

Record 9
A plane-wave DFT calculation with PBE-GGA was carried out for crystalline SrNb2PtI at its relaxed geometry.

abc: 5.473 5.135 5.473
angles: 90.00 90.00 90.00
Each line ends with the local moment (μB).
Fractional positions:
Pt 0.000 0.500 0.000  0.04
Nb 0.000 0.000 0.500  1.87
Nb 0.500 0.000 0.000  2.12
Sr 0.000 0.000 0.000  0.17
I 0.500 0.500 0.500  -0.03

Output
raw total energy	-18.228	eV/cell
spin magnetization	5.3	μB per formula unit
formation energy without anion corrections	2237	meV/atom
space group	P4/mmm, No. 123

Record 10
A plane-wave DFT calculation with PBE-GGA was carried out for crystalline NbTePt2I at its relaxed geometry.

abc: 4.990 4.990 5.310
angles: 90.00 90.00 90.00
Each line ends with the local moment (μB).
Fractional positions:
Te 0.500 0.500 0.500  -0.03
Pt 0.500 0.000 0.000  0.01
Pt 0.000 0.500 0.000  0.01
I 0.000 0.000 0.000  -0.02
Nb 0.000 0.000 0.500  1.89

Output
raw total energy	-20.737	eV/cell
spin magnetization	2.3	μB per formula unit
formation energy without anion corrections	1221	meV/atom
space group	P4/mmm, No. 123

Record 11
A plane-wave DFT calculation with PBE-GGA was carried out for crystalline Nb2TlPtI at its relaxed geometry.

abc: 5.052 5.693 5.052
angles: 90.00 90.00 90.00
Each line ends with the local moment (μB).
Fractional positions:
Nb 0.000 0.000 0.500  1.03
Nb 0.500 0.000 0.000  1.42
Pt 0.000 0.000 0.000  -0.04
Tl 0.500 0.500 0.500  0.05
I 0.000 0.500 0.000  0.02

Output
raw total energy	-24.811	eV/cell
spin magnetization	3.2	μB per formula unit
formation energy without anion corrections	1057	meV/atom
space group	P4/mmm, No. 123

Record 12
A plane-wave DFT calculation with PBE-GGA was carried out for crystalline ZrNbPtI2 at its relaxed geometry.

abc: 5.381 5.164 5.381
angles: 90.00 90.00 90.00
Each line ends with the local moment (μB).
Fractional positions:
Nb 0.500 0.500 0.500  2.47
Zr 0.000 0.500 0.000  -0.55
I 0.000 0.000 0.500  -0.02
Pt 0.000 0.000 0.000  0.00
I 0.500 0.000 0.000  -0.03

Output
raw total energy	-22.468	eV/cell
spin magnetization	2.4	μB per formula unit
formation energy without anion corrections	1058	meV/atom
space group	P4/mmm, No. 123

Record 13
A plane-wave DFT calculation with PBE-GGA was carried out for crystalline Rb2NbI at its relaxed geometry.

abc: 13.323 13.323 9.831
angles: 47.34 47.34 90.00
Each line ends with the local moment (μB).
Fractional positions:
Rb 0.778 0.125 0.250  0.01
I 0.750 0.250 0.500  -0.01
Rb 0.375 0.222 0.750  0.01
Nb 0.250 0.750 0.500  2.92
Rb 0.972 0.625 0.250  0.01
I 0.000 0.000 0.000  -0.01
Nb 0.500 0.500 0.000  2.92
Rb 0.875 0.028 0.750  0.01

Output
polymorph energy (0 for the lowest one)	0	kJ/mol of formula units
raw total energy	-22.315	eV/cell
spin magnetization	4.1	μB per formula unit
formation energy without anion corrections	599	meV/atom
space group	I-42d, No. 122

Record 14
A plane-wave DFT calculation with PBE-GGA was carried out for crystalline Rb2NbI at its relaxed geometry.

abc: 6.340 6.340 6.340
angles: 60.00 60.00 60.00
Each line ends with the local moment (μB).
Fractional positions:
Nb 0.000 0.000 0.000  3.45
I 0.500 0.500 0.500  0.06
Rb 0.750 0.750 0.750  0.05
Rb 0.250 0.250 0.250  0.05

Output
polymorph energy (0 for the lowest one)	20	kJ/mol of formula units
raw total energy	-10.949	eV/cell
spin magnetization	5.6	μB per formula unit
formation energy without anion corrections	651	meV/atom
space group	Fm-3m, No. 225

Record 15
A plane-wave DFT calculation with PBE-GGA was carried out for crystalline RbNb2I at its relaxed geometry.

abc: 4.957 4.957 11.263
angles: 77.29 77.29 90.00
Fractional positions:
Rb 0.250 0.750 0.500
I 0.750 0.250 0.500
I 0.000 0.000 0.000
Nb 0.875 0.116 0.750
Rb 0.500 0.500 0.000
Nb 0.866 0.125 0.250
Nb 0.884 0.625 0.250
Nb 0.375 0.134 0.750

Output
polymorph energy (0 for the lowest one)	0	kJ/mol of formula units
raw total energy	-36.978	eV/cell
spin magnetization	0.0	μB per formula unit
formation energy without anion corrections	1042	meV/atom
space group	I-42d, No. 122

Record 16
A plane-wave DFT calculation with PBE-GGA was carried out for crystalline Rb2NbI7 at its relaxed geometry.

abc: 8.986 11.667 10.608
angles: 85.12 64.94 67.35
Each line ends with the local moment (μB).
Fractional positions:
Nb 0.969 0.250 0.750  0.42
Rb 0.427 0.038 0.290  0.00
I 0.198 0.497 0.172  -0.01
Rb 0.755 0.462 0.210  0.00
I 0.979 0.303 0.470  -0.02
I 0.643 0.250 0.750  -0.03
I 0.680 0.732 0.431  -0.01
Rb 0.245 0.538 0.790  0.00
I 0.156 0.232 0.931  -0.01
I 0.320 0.268 0.569  -0.01
Rb 0.573 0.962 0.710  0.00
I 0.357 0.750 0.250  -0.03
I 0.021 0.697 0.530  -0.02
I 0.751 0.197 0.030  -0.02
I 0.844 0.768 0.069  -0.01
I 0.249 0.803 0.970  -0.02
I 0.802 0.503 0.828  -0.01
Nb 0.031 0.750 0.250  0.42
I 0.866 0.003 0.328  -0.01
I 0.134 0.997 0.672  -0.01

Output
polymorph energy (0 for the lowest one)	0	kJ/mol of formula units
raw total energy	-60.520	eV/cell
spin magnetization	0.3	μB per formula unit
formation energy without anion corrections	-740	meV/atom
space group	C2/c, No. 15

Record 17
A plane-wave DFT calculation with PBE-GGA was carried out for crystalline RbNbI2 at its relaxed geometry.

abc: 5.455 5.455 5.455
angles: 60.00 60.00 60.00
Fractional positions:
I 0.250 0.250 0.250
Rb 0.000 0.000 0.000
I 0.750 0.750 0.750
Nb 0.500 0.500 0.500

Output
polymorph energy (0 for the lowest one)	143	kJ/mol of formula units
raw total energy	-12.771	eV/cell
spin magnetization	0.0	μB per formula unit
formation energy without anion corrections	342	meV/atom
space group	Fm-3m, No. 225

Record 18
A plane-wave DFT calculation with PBE-GGA was carried out for crystalline Rb3NbI6 at its relaxed geometry.

abc: 8.921 8.921 8.921
angles: 60.00 60.00 90.00
Each line ends with the local moment (μB).
Fractional positions:
I 0.226 0.774 0.000  -0.01
I 0.226 0.226 0.547  -0.01
I 0.226 0.226 0.000  -0.01
Rb 0.750 0.250 0.500  0.00
Rb 0.500 0.500 0.000  0.00
Rb 0.250 0.750 0.500  0.00
I 0.774 0.774 0.453  -0.01
I 0.774 0.226 0.000  -0.01
I 0.774 0.774 0.000  -0.01
Nb 0.000 0.000 0.000  1.62

Output
raw total energy	-32.020	eV/cell
spin magnetization	2.0	μB per formula unit
formation energy without anion corrections	-975	meV/atom
space group	Fm-3m, No. 225

Record 19
A plane-wave DFT calculation with PBE-GGA was carried out for crystalline RbNb2I at its relaxed geometry.

abc: 5.002 5.002 5.002
angles: 60.00 60.00 60.00
Each line ends with the local moment (μB).
Fractional positions:
Rb 0.000 0.000 0.000  0.01
I 0.500 0.500 0.500  0.00
Nb 0.750 0.750 0.750  0.06
Nb 0.250 0.250 0.250  0.06

Output
polymorph energy (0 for the lowest one)	259	kJ/mol of formula units
raw total energy	-15.800	eV/cell
spin magnetization	0.2	μB per formula unit
formation energy without anion corrections	1714	meV/atom
space group	Fm-3m, No. 225

Record 20
A plane-wave DFT calculation with PBE-GGA was carried out for crystalline Rb2NbI7 at its relaxed geometry.

abc: 9.099 9.099 9.135
angles: 60.13 60.13 90.00
Each line ends with the local moment (μB).
Fractional positions:
I 0.284 0.284 0.432  0.00
I 0.000 0.000 0.000  -0.05
Nb 0.500 0.500 0.000  0.09
I 0.282 0.718 0.000  0.00
I 0.716 0.716 0.568  0.00
Rb 0.750 0.250 0.500  0.00
Rb 0.250 0.750 0.500  0.00
I 0.718 0.282 0.000  0.00
I 0.718 0.718 0.000  -0.01
I 0.282 0.282 0.000  -0.01

Output
polymorph energy (0 for the lowest one)	56	kJ/mol of formula units
raw total energy	-29.685	eV/cell
spin magnetization	0.0	μB per formula unit
formation energy without anion corrections	-683	meV/atom
space group	I4/mmm, No. 139